1.
First-principles (PBE) data for an optimized crystal structure of LiTl2Pb4, as listed in Alexandria.

## Properties
Space group ... No. 139
Density ... 9.2 g/cm3

a b c (Å): 9.346 9.346 9.346
angles (deg): 148.38 148.38 45.32
Fractional coordinates of all 7 atoms:
1 Li 0.000 0.000 0.000
2 Tl 0.351 0.351 0.000
3 Tl 0.649 0.649 0.000
4 Pb 0.000 0.500 0.500
5 Pb 0.159 0.159 0.000
6 Pb 0.500 0.000 0.500
7 Pb 0.841 0.841 0.000

2.
First-principles (PBE) data for an optimized crystal structure of LiTl2Pb4, as listed in Alexandria.

## Properties
Space group ... No. 12
Density ... 9.9 g/cm3

a b c (Å): 10.924 10.924 5.541
angles (deg): 103.20 103.20 18.90
Fractional coordinates of all 7 atoms:
1 Li 0.000 0.000 0.000
2 Tl 0.276 0.276 0.277
3 Tl 0.724 0.724 0.723
4 Pb 0.077 0.077 0.579
5 Pb 0.375 0.375 0.876
6 Pb 0.625 0.625 0.124
7 Pb 0.923 0.923 0.421

Stability verdict: 2, ahead by 192 meV per atom

1.
First-principles (PBE) data for an optimized crystal structure of Li4Tl3Pb2, as listed in Alexandria.

## Properties
Space group ... No. 12
Density ... 8.3 g/cm3

a b c (Å): 4.987 4.987 9.756
angles (deg): 90.02 90.02 59.99
Fractional coordinates of all 9 atoms:
1 Li 0.001 0.001 0.315
2 Li 0.334 0.334 0.109
3 Li 0.666 0.666 0.891
4 Li 0.999 0.999 0.685
5 Tl 0.000 0.000 0.000
6 Tl 0.334 0.334 0.417
7 Tl 0.666 0.666 0.583
8 Pb 0.332 0.332 0.783
9 Pb 0.668 0.668 0.217

2.
First-principles (PBE) data for an optimized crystal structure of Li4Tl3Pb2, as listed in Alexandria.

## Properties
Space group ... No. 64
Density ... 8.2 g/cm3

a b c (Å): 9.072 9.072 7.822
angles (deg): 90.00 90.00 138.67
Fractional coordinates of all 18 atoms:
1 Li 0.163 0.837 0.971
2 Li 0.184 0.316 0.750
3 Li 0.316 0.184 0.250
4 Li 0.337 0.663 0.471
5 Li 0.663 0.337 0.529
6 Li 0.684 0.816 0.750
7 Li 0.816 0.684 0.250
8 Li 0.837 0.163 0.029
9 Tl 0.000 0.000 0.000
10 Tl 0.016 0.484 0.750
11 Tl 0.484 0.016 0.250
12 Tl 0.500 0.500 0.500
13 Tl 0.516 0.984 0.750
14 Tl 0.984 0.516 0.250
15 Pb 0.098 0.902 0.593
16 Pb 0.402 0.598 0.093
17 Pb 0.598 0.402 0.907
18 Pb 0.902 0.098 0.407

Stability verdict: 1, ahead by 70 meV per atom